# 1
A plane-wave DFT calculation with PBE was carried out for a relaxed structure of AcTe4O12.

## Properties
Symmetry   Im-3, No. 204
Electronic total energy   -5.69 eV/atom
Formation energy (no corrections)   -1.2061 eV per atom
Magnetization   0.0 μB per formula unit

abc: 6.9617 6.9617 6.9617
angles: 109.47 109.47 109.47
Last column: nearest neighbours and their distance in Å.
Positions (direct):
Ac  0.0000  0.0000  0.0000  12 O 2.71
Te  0.0000  0.0000  0.5000  6 O 2.03
Te  0.0000  0.5000  0.0000  6 O 2.03
Te  0.5000  0.0000  0.0000  6 O 2.03
Te  0.5000  0.5000  0.5000  6 O 2.03
O  0.0380  0.2564  0.7816  2 Te 2.03
O  0.2184  0.4748  0.2564  2 Te 2.03
O  0.2184  0.9620  0.7436  2 Te 2.03
O  0.2564  0.2184  0.4748  2 Te 2.03
O  0.2564  0.7816  0.0380  2 Te 2.03
O  0.4748  0.2564  0.2184  2 Te 2.03
O  0.5252  0.7436  0.7816  2 Te 2.03
O  0.7436  0.2184  0.9620  2 Te 2.03
O  0.7436  0.7816  0.5252  2 Te 2.03
O  0.7816  0.0380  0.2564  2 Te 2.03
O  0.7816  0.5252  0.7436  2 Te 2.03
O  0.9620  0.7436  0.2184  2 Te 2.03



# 2
A plane-wave DFT calculation with PBE was carried out for a relaxed structure of TiCr.

## Properties
Symmetry   P4_2/mnm, No. 136
Electronic total energy   -8.02 eV/atom
DFT formation energy   735 meV/atom
Magnetization   0.6 μB per formula unit

abc: 4.9112 4.9112 5.0210
angles: 90.00 90.00 90.00
Last column: nearest neighbours and their distance in Å.
Positions (direct):
Ti  0.2002  0.2002  0.0000  6 Cr 2.46-2.58
Ti  0.2998  0.7002  0.5000  6 Cr 2.46-2.58
Ti  0.7002  0.2998  0.5000  6 Cr 2.46-2.58
Ti  0.7998  0.7998  0.0000  6 Cr 2.46-2.58
Cr  0.1875  0.1875  0.5000  6 Ti 2.46-2.58, 1 Cr 2.60
Cr  0.3125  0.6875  0.0000  6 Ti 2.46-2.58, 1 Cr 2.60
Cr  0.6875  0.3125  0.0000  6 Ti 2.46-2.58, 1 Cr 2.60
Cr  0.8125  0.8125  0.5000  6 Ti 2.46-2.58, 1 Cr 2.60



# 3
A plane-wave DFT calculation with PBE was carried out for a relaxed structure of KP3.

## Properties
Symmetry   Fm-3m, No. 225
Electronic total energy   -3.51 eV/atom
DFT formation energy   818 meV/atom
Magnetization   0.0 μB per formula unit

abc: 6.8282 6.8282 6.8282
angles: 90.00 90.00 90.00
Last column: nearest neighbours and their distance in Å.
Positions (direct):
K  0.0000  0.0000  0.0000  8 P 2.96
K  0.0000  0.5000  0.5000  8 P 2.96
K  0.5000  0.0000  0.5000  8 P 2.96
K  0.5000  0.5000  0.0000  8 P 2.96
P  0.0000  0.0000  0.5000  8 P 2.96
P  0.0000  0.5000  0.0000  8 P 2.96
P  0.2500  0.2500  0.2500  4 P 2.96, 4 K 2.96
P  0.2500  0.2500  0.7500  4 K 2.96, 4 P 2.96
P  0.2500  0.7500  0.2500  4 K 2.96, 4 P 2.96
P  0.2500  0.7500  0.7500  4 P 2.96, 4 K 2.96
P  0.5000  0.0000  0.0000  8 P 2.96
P  0.5000  0.5000  0.5000  8 P 2.96
P  0.7500  0.2500  0.2500  4 K 2.96, 4 P 2.96
P  0.7500  0.2500  0.7500  4 P 2.96, 4 K 2.96
P  0.7500  0.7500  0.2500  4 P 2.96, 4 K 2.96
P  0.7500  0.7500  0.7500  4 K 2.96, 4 P 2.96



# 4
A plane-wave DFT calculation with PBE was carried out for a relaxed structure of CaMnTe2.

## Properties
Symmetry   Fm-3m, No. 225
Electronic total energy   -4.36 eV/atom
Formation energy (no corrections)   0.0033 eV per atom
Magnetization   0.0 μB per formula unit

abc: 7.1294 7.1294 7.1294
angles: 90.00 90.00 90.00
Last column: nearest neighbours and their distance in Å.
Positions (direct):
Ca  0.0000  0.0000  0.0000  8 Te 3.09
Ca  0.0000  0.5000  0.5000  8 Te 3.09
Ca  0.5000  0.0000  0.5000  8 Te 3.09
Ca  0.5000  0.5000  0.0000  8 Te 3.09
Mn  0.0000  0.0000  0.5000  8 Te 3.09
Mn  0.0000  0.5000  0.0000  8 Te 3.09
Mn  0.5000  0.0000  0.0000  8 Te 3.09
Mn  0.5000  0.5000  0.5000  8 Te 3.09
Te  0.2500  0.2500  0.2500  4 Mn 3.09, 4 Ca 3.09
Te  0.2500  0.2500  0.7500  4 Ca 3.09, 4 Mn 3.09
Te  0.2500  0.7500  0.2500  4 Mn 3.09, 4 Ca 3.09
Te  0.2500  0.7500  0.7500  4 Mn 3.09, 4 Ca 3.09
Te  0.7500  0.2500  0.2500  4 Mn 3.09, 4 Ca 3.09
Te  0.7500  0.2500  0.7500  4 Mn 3.09, 4 Ca 3.09
Te  0.7500  0.7500  0.2500  4 Mn 3.09, 4 Ca 3.09
Te  0.7500  0.7500  0.7500  4 Ca 3.09, 4 Mn 3.09



# 5
A plane-wave DFT calculation with PBE was carried out for a relaxed structure of TaTi2Cl.

## Properties
Symmetry   Fm-3m, No. 225
Electronic total energy   -6.88 eV/atom
Formation energy (no corrections)   0.4899 eV per atom
Magnetization   0.0 μB per formula unit

abc: 6.4904 6.4904 6.4904
angles: 90.00 90.00 90.00
Last column: nearest neighbours and their distance in Å.
Positions (direct):
Ta  0.0000  0.0000  0.0000  8 Ti 2.81
Ta  0.0000  0.5000  0.5000  8 Ti 2.81
Ta  0.5000  0.0000  0.5000  8 Ti 2.81
Ta  0.5000  0.5000  0.0000  8 Ti 2.81
Ti  0.2500  0.2500  0.2500  4 Ta 2.81, 4 Cl 2.81
Ti  0.2500  0.2500  0.7500  4 Ta 2.81, 4 Cl 2.81
Ti  0.2500  0.7500  0.2500  4 Ta 2.81, 4 Cl 2.81
Ti  0.2500  0.7500  0.7500  4 Ta 2.81, 4 Cl 2.81
Ti  0.7500  0.2500  0.2500  4 Ta 2.81, 4 Cl 2.81
Ti  0.7500  0.2500  0.7500  4 Ta 2.81, 4 Cl 2.81
Ti  0.7500  0.7500  0.2500  4 Ta 2.81, 4 Cl 2.81
Ti  0.7500  0.7500  0.7500  4 Ta 2.81, 4 Cl 2.81
Cl  0.0000  0.0000  0.5000  8 Ti 2.81
Cl  0.0000  0.5000  0.0000  8 Ti 2.81
Cl  0.5000  0.0000  0.0000  8 Ti 2.81
Cl  0.5000  0.5000  0.5000  8 Ti 2.81



# 6
A plane-wave DFT calculation with PBE was carried out for a relaxed structure of CsNbSe2.

## Properties
Symmetry   I-4m2, No. 119
Electronic total energy   -5.17 eV/atom
Formation energy (no corrections)   -0.6939 eV per atom
Magnetization   1.4 μB per formula unit

abc: 4.2154 4.2154 14.8626
angles: 90.00 90.00 90.00
Last column: nearest neighbours and their distance in Å.
Positions (direct):
Cs  0.0000  0.0000  0.0000  8 Se 3.77, 4 Cs 4.22
Cs  0.5000  0.5000  0.5000  8 Se 3.77, 4 Cs 4.22
Nb  0.0000  0.5000  0.7500  4 Se 2.53
Nb  0.5000  0.0000  0.2500  4 Se 2.53
Se  0.0000  0.0000  0.3442  2 Nb 2.53
Se  0.0000  0.0000  0.6558  2 Nb 2.53
Se  0.5000  0.5000  0.1558  2 Nb 2.53
Se  0.5000  0.5000  0.8442  2 Nb 2.53



# 7
A plane-wave DFT calculation with PBE was carried out for a relaxed structure of Ba3LiCa.

## Properties
Symmetry   C2/m, No. 12
Electronic total energy   -1.88 eV/atom
DFT formation energy   53 meV/atom
Magnetization   0.0 μB per formula unit

abc: 7.3603 7.3603 12.3883
angles: 97.05 97.05 49.53
Last column: nearest neighbours and their distance in Å.
Positions (direct):
Ba  0.0332  0.0332  0.3379  1 Li 3.76, 1 Ca 4.21
Ba  0.2854  0.2854  0.7699  2 Li 3.94, 3 Ca 4.18-4.31, 7 Ba 4.25-4.37
Ba  0.3907  0.3907  0.1134  3 Li 3.73-3.79
Ba  0.6093  0.6093  0.8866  3 Li 3.73-3.79
Ba  0.7146  0.7146  0.2301  2 Li 3.94, 3 Ca 4.18-4.31, 7 Ba 4.25-4.37
Ba  0.9668  0.9668  0.6621  1 Li 3.76, 1 Ca 4.21
Li  0.1050  0.1050  0.0549  1 Li 2.95
Li  0.8950  0.8950  0.9451  1 Li 2.95
Ca  0.3451  0.3451  0.4476  3 Ca 4.17-4.31, 9 Ba 4.18-4.31
Ca  0.6549  0.6549  0.5524  3 Ca 4.17-4.31, 9 Ba 4.18-4.31



# 8
A plane-wave DFT calculation with PBE was carried out for a relaxed structure of CdReSe2.

## Properties
Symmetry   R-3m, No. 166
Electronic total energy   -4.65 eV/atom
Formation energy (no corrections)   0.4281 eV per atom
Magnetization   0.0 μB per formula unit

abc: 2.8909 2.8909 35.3913
angles: 90.00 90.00 120.00
Last column: nearest neighbours and their distance in Å.
Positions (direct):
Cd  0.0000  0.0000  0.0000  6 Cd 2.89
Cd  0.3333  0.6667  0.6667  6 Cd 2.89
Cd  0.6667  0.3333  0.3333  6 Cd 2.89
Re  0.0000  0.0000  0.5000  2 Se 2.45
Re  0.3333  0.6667  0.1667  2 Se 2.45
Re  0.6667  0.3333  0.8333  2 Se 2.45
Se  0.0000  0.0000  0.4308  1 Re 2.45
Se  0.0000  0.0000  0.5692  1 Re 2.45
Se  0.3333  0.6667  0.0974  1 Re 2.45
Se  0.3333  0.6667  0.2359  1 Re 2.45
Se  0.6667  0.3333  0.7641  1 Re 2.45
Se  0.6667  0.3333  0.9026  1 Re 2.45



# 9
A plane-wave DFT calculation with PBE was carried out for a relaxed structure of RbCoGe2.

## Properties
Symmetry   R-3m, No. 166
Electronic total energy   -4.38 eV/atom
DFT formation energy   -48 meV/atom
Magnetization   0.8 μB per formula unit

abc: 4.0240 4.0240 20.3108
angles: 90.00 90.00 120.00
Last column: nearest neighbours and their distance in Å.
Positions (direct):
Rb  0.0000  0.0000  0.0000  6 Ge 3.53
Rb  0.3333  0.6667  0.6667  6 Ge 3.53
Rb  0.6667  0.3333  0.3333  6 Ge 3.53
Co  0.0000  0.0000  0.5000  6 Ge 2.43
Co  0.3333  0.6667  0.1667  6 Ge 2.43
Co  0.6667  0.3333  0.8333  6 Ge 2.43
Ge  0.0000  0.0000  0.2022  3 Co 2.43
Ge  0.0000  0.0000  0.7978  3 Co 2.43
Ge  0.3333  0.6667  0.4645  3 Co 2.43
Ge  0.3333  0.6667  0.8689  3 Co 2.43
Ge  0.6667  0.3333  0.1311  3 Co 2.43
Ge  0.6667  0.3333  0.5355  3 Co 2.43



# 10
A plane-wave DFT calculation with PBE was carried out for a relaxed structure of HfTi2As2.

## Properties
Symmetry   C2/c, No. 15
Electronic total energy   -7.61 eV/atom
DFT formation energy   -599 meV/atom
Magnetization   0.0 μB per formula unit

abc: 6.5810 6.5810 5.1454
angles: 109.20 109.20 99.55
Last column: nearest neighbours and their distance in Å.
Positions (direct):
Hf  0.0995  0.9005  0.7500  4 As 2.72-2.87, 2 Ti 3.03
Hf  0.9005  0.0995  0.2500  4 As 2.72-2.87, 2 Ti 3.03
Ti  0.2240  0.4120  0.0151  4 As 2.50-2.61, 1 Ti 2.79
Ti  0.4120  0.2240  0.5151  4 As 2.50-2.61, 1 Ti 2.79
Ti  0.5880  0.7760  0.4849  4 As 2.50-2.61, 1 Ti 2.79
Ti  0.7760  0.5880  0.9849  4 As 2.50-2.61, 1 Ti 2.79
As  0.1865  0.8135  0.2500  4 Ti 2.50-2.61, 2 Hf 2.72
As  0.3752  0.6248  0.7500  4 Ti 2.55-2.61, 1 Hf 2.77
As  0.6248  0.3752  0.2500  4 Ti 2.55-2.61, 1 Hf 2.77
As  0.8135  0.1865  0.7500  4 Ti 2.50-2.61, 2 Hf 2.72